Density functional theory data (PBE-GGA) for a relaxed structure of Dy2CF2.

Cell and atoms, written as POSCAR:
```
Dy2CF2
1.0
3.640 0.000 0.000
-1.820 3.152 0.000
0.000 0.000 6.303
F Dy C
2 2 1
Cartesian
0.000 2.101 3.856 F
1.820 1.051 2.447 F
1.820 1.051 4.953 Dy
0.000 2.101 1.350 Dy
0.000 0.000 0.000 C
```

Results
total energy: -6.856 eV per atom
space group: P-3m1
E above lowest polymorph: 0.000 eV/atom
crystal system: trigonal